VASP calculation (PBE-GGA) on a relaxed structure of Dy3Zn11.

a = 8.0987 Å, b = 8.0987 Å, c = 8.0987 Å
α = 148.70°, β = 113.90°, γ = 74.95°
Atoms (fractional coordinates):
Dy (0.0000, 0.0000, 0.0000)
Dy (0.2941, 0.2941, 0.0000)
Dy (0.7059, 0.7059, 0.0000)
Zn (0.0180, 0.6572, 0.3608)
Zn (0.1414, 0.8599, 0.2815)
Zn (0.2963, 0.6572, 0.6392)
Zn (0.3173, 0.5000, 0.8173)
Zn (0.4216, 0.1401, 0.2815)
Zn (0.5000, 0.0000, 0.5000)
Zn (0.5784, 0.8599, 0.7185)
Zn (0.6827, 0.5000, 0.1827)
Zn (0.7037, 0.3428, 0.3608)
Zn (0.8586, 0.1401, 0.7185)
Zn (0.9820, 0.3428, 0.6392)

## Properties
crystal system: orthorhombic
VASP energy: -2.31 eV per atom
magnetization: 0.00 Bohr magnetons per cell
ΔH_f (0 K): -335 meV per atom